# 1
# Sm5TmGa4, optimized geometry, DFT PBE
data_Sm5TmGa4
_chemical_formula_sum 'Sm5 Tm1 Ga4'
_symmetry_space_group_name_H-M 'P 1'
_symmetry_Int_Tables_number 1
_cell_length_a 8.879
_cell_length_b 8.879
_cell_length_c 8.850
_cell_angle_alpha 93.55
_cell_angle_beta 93.55
_cell_angle_gamma 24.28
loop_
_symmetry_equiv_pos_as_xyz
'x,y,z'
loop_
_atom_site_label
_atom_site_fract_x
_atom_site_fract_y
_atom_site_fract_z
_atom_site_occupancy
Sm1 0.000 0.000 0.000 1
Sm2 0.313 0.313 0.146 1
Sm3 0.350 0.350 0.705 1
Sm4 0.650 0.650 0.295 1
Sm5 0.687 0.687 0.854 1
Tm1 0.000 0.000 0.500 1
Ga1 0.181 0.181 0.569 1
Ga2 0.476 0.476 0.253 1
Ga3 0.524 0.524 0.747 1
Ga4 0.819 0.819 0.431 1
# energy of formation	-26	kJ per mole of atoms
# N(E_F)	9.991	states/eV/f.u.

# 2
# KCdBr, optimized geometry, DFT PBE
data_KCdBr
_chemical_formula_sum 'K1 Cd1 Br1'
_symmetry_space_group_name_H-M 'P 1'
_symmetry_Int_Tables_number 1
_cell_length_a 5.658
_cell_length_b 5.658
_cell_length_c 5.658
_cell_angle_alpha 60.00
_cell_angle_beta 60.00
_cell_angle_gamma 60.00
loop_
_symmetry_equiv_pos_as_xyz
'x,y,z'
loop_
_atom_site_label
_atom_site_fract_x
_atom_site_fract_y
_atom_site_fract_z
_atom_site_occupancy
K1 0.000 0.000 0.000 1
Cd1 0.250 0.250 0.250 1
Br1 0.750 0.750 0.750 1
# N(E_F)	0.000	states/eV/f.u.

# 3
# La2CdCu9, optimized geometry, DFT PBE
data_La2CdCu9
_chemical_formula_sum 'La2 Cd1 Cu9'
_symmetry_space_group_name_H-M 'P 1'
_symmetry_Int_Tables_number 1
_cell_length_a 8.996
_cell_length_b 8.996
_cell_length_c 8.996
_cell_angle_alpha 33.39
_cell_angle_beta 33.39
_cell_angle_gamma 33.39
loop_
_symmetry_equiv_pos_as_xyz
'x,y,z'
loop_
_atom_site_label
_atom_site_fract_x
_atom_site_fract_y
_atom_site_fract_z
_atom_site_occupancy
La1 0.136 0.136 0.136 1
La2 0.864 0.864 0.864 1
Cd1 0.000 0.000 0.000 1
Cu1 0.080 0.578 0.578 1
Cu2 0.332 0.332 0.332 1
Cu3 0.422 0.422 0.920 1
Cu4 0.422 0.920 0.422 1
Cu5 0.500 0.500 0.500 1
Cu6 0.578 0.080 0.578 1
Cu7 0.578 0.578 0.080 1
Cu8 0.668 0.668 0.668 1
Cu9 0.920 0.422 0.422 1
# energy of formation	-5	kJ per mole of atoms
# N(E_F)	5.711	states/eV/f.u.

# 4
# SrMg2PRh, optimized geometry, DFT PBE
data_SrMg2PRh
_chemical_formula_sum 'Sr1 Mg2 P1 Rh1'
_symmetry_space_group_name_H-M 'P 1'
_symmetry_Int_Tables_number 1
_cell_length_a 4.863
_cell_length_b 4.863
_cell_length_c 5.545
_cell_angle_alpha 90.00
_cell_angle_beta 90.00
_cell_angle_gamma 90.00
loop_
_symmetry_equiv_pos_as_xyz
'x,y,z'
loop_
_atom_site_label
_atom_site_fract_x
_atom_site_fract_y
_atom_site_fract_z
_atom_site_occupancy
Sr1 0.000 0.000 0.000 1
Mg1 0.000 0.500 0.500 1
Mg2 0.500 0.000 0.500 1
P1 0.500 0.500 0.000 1
Rh1 0.000 0.000 0.500 1
# energy of formation	2	kJ per mole of atoms
# N(E_F)	1.196	states/eV/f.u.

# 5
# GdPuAu2, optimized geometry, DFT PBE
data_GdPuAu2
_chemical_formula_sum 'Gd1 Pu1 Au2'
_symmetry_space_group_name_H-M 'P 1'
_symmetry_Int_Tables_number 1
_cell_length_a 5.217
_cell_length_b 5.217
_cell_length_c 3.539
_cell_angle_alpha 90.00
_cell_angle_beta 90.00
_cell_angle_gamma 90.00
loop_
_symmetry_equiv_pos_as_xyz
'x,y,z'
loop_
_atom_site_label
_atom_site_fract_x
_atom_site_fract_y
_atom_site_fract_z
_atom_site_occupancy
Gd1 0.000 0.000 0.000 1
Pu1 0.500 0.500 0.000 1
Au1 0.000 0.500 0.500 1
Au2 0.500 0.000 0.500 1
# energy of formation	-59	kJ per mole of atoms
# N(E_F)	11.654	states/eV/f.u.

# 6
DFT (PBE) results for an optimized crystal structure of SrLiYTe3.

Geometry as CIF:
```
data_SrLiYTe3
_chemical_formula_sum 'Sr2 Li2 Y2 Te6'
_symmetry_space_group_name_H-M 'P 1'
_symmetry_Int_Tables_number 1
_cell_length_a 9.185
_cell_length_b 4.448
_cell_length_c 9.781
_cell_angle_alpha 90.00
_cell_angle_beta 103.87
_cell_angle_gamma 90.00
loop_
_symmetry_equiv_pos_as_xyz
'x,y,z'
loop_
_atom_site_label
_atom_site_fract_x
_atom_site_fract_y
_atom_site_fract_z
_atom_site_occupancy
Sr1 0.188 0.250 0.242 1
Sr2 0.812 0.750 0.758 1
Li1 0.085 0.250 0.588 1
Li2 0.915 0.750 0.412 1
Y1 0.329 0.750 0.837 1
Y2 0.671 0.250 0.163 1
Te1 0.104 0.250 0.873 1
Te2 0.226 0.750 0.514 1
Te3 0.437 0.750 0.166 1
Te4 0.563 0.250 0.834 1
Te5 0.774 0.250 0.486 1
Te6 0.896 0.750 0.127 1
```

# 7
# HfPd3Au, optimized geometry, DFT PBE
data_HfPd3Au
_chemical_formula_sum 'Hf1 Pd3 Au1'
_symmetry_space_group_name_H-M 'P 1'
_symmetry_Int_Tables_number 1
_cell_length_a 4.867
_cell_length_b 4.867
_cell_length_c 4.867
_cell_angle_alpha 90.00
_cell_angle_beta 90.00
_cell_angle_gamma 90.00
loop_
_symmetry_equiv_pos_as_xyz
'x,y,z'
loop_
_atom_site_label
_atom_site_fract_x
_atom_site_fract_y
_atom_site_fract_z
_atom_site_occupancy
Hf1 0.000 0.000 0.000 1
Pd1 0.000 0.500 0.500 1
Pd2 0.500 0.000 0.500 1
Pd3 0.500 0.500 0.000 1
Au1 0.500 0.500 0.500 1
# energy of formation	87	kJ per mole of atoms
# N(E_F)	6.640	states/eV/f.u.

# 8
# La12NdSn4N3, optimized geometry, DFT PBE
data_La12NdSn4N3
_chemical_formula_sum 'La12 Nd1 Sn4 N3'
_symmetry_space_group_name_H-M 'P 1'
_symmetry_Int_Tables_number 1
_cell_length_a 9.010
_cell_length_b 9.010
_cell_length_c 9.010
_cell_angle_alpha 109.47
_cell_angle_beta 109.47
_cell_angle_gamma 109.47
loop_
_symmetry_equiv_pos_as_xyz
'x,y,z'
loop_
_atom_site_label
_atom_site_fract_x
_atom_site_fract_y
_atom_site_fract_z
_atom_site_occupancy
La1 0.000 0.274 0.274 1
La2 0.000 0.726 0.726 1
La3 0.250 0.500 0.750 1
La4 0.250 0.750 0.500 1
La5 0.274 0.000 0.274 1
La6 0.274 0.274 0.000 1
La7 0.500 0.250 0.750 1
La8 0.500 0.750 0.250 1
La9 0.726 0.000 0.726 1
La10 0.726 0.726 0.000 1
La11 0.750 0.250 0.500 1
La12 0.750 0.500 0.250 1
Nd1 0.000 0.000 0.000 1
Sn1 0.000 0.000 0.500 1
Sn2 0.000 0.500 0.000 1
Sn3 0.500 0.000 0.000 1
Sn4 0.500 0.500 0.500 1
N1 0.000 0.500 0.500 1
N2 0.500 0.000 0.500 1
N3 0.500 0.500 0.000 1
# N(E_F)	17.319	states/eV/f.u.

| no. | electronic total energy (eV/atom) |
| --- | --- |
| 1 | -4.2900 |
| 2 | -2.0103 |
| 3 | -4.0181 |
| 4 | -3.5028 |
| 5 | -9.3581 |
| 6 | -4.6737 |
| 7 | -4.8624 |
| 8 | -5.9056 |